Record 1
Density functional theory data (PBE) for HgPPt2 after structural relaxation.

a = 4.584 Å, b = 4.584 Å, c = 4.584 Å
α = 60.00°, β = 60.00°, γ = 60.00°
Fractional coordinates of all 4 atoms:
Hg  0.000  0.000  0.000
P  0.250  0.250  0.250
Pt  0.500  0.500  0.500
Pt  0.750  0.750  0.750

Energy relative to the elements   34.0 kJ/mol of atoms
Polymorph energy (0 for the lowest one)   46.0 kJ/mol of atoms
Density of states at the Fermi level   0.64 states/eV/atom
Space-group type   F-43m (216)


Record 2
Density functional theory data (PBE) for Mg3BeAu after structural relaxation.

a = 4.686 Å, b = 4.686 Å, c = 4.686 Å
α = 90.00°, β = 90.00°, γ = 90.00°
Fractional coordinates of all 5 atoms:
Mg  0.000  0.000  0.500
Mg  0.000  0.500  0.000
Mg  0.500  0.000  0.000
Be  0.000  0.000  0.000
Au  0.500  0.500  0.500

Energy relative to the elements   20.6 kJ/mol of atoms
Polymorph energy (0 for the lowest one)   0.0 kJ/mol of atoms
Density of states at the Fermi level   0.47 states/eV/atom
Space-group type   Pm-3m (221)


Record 3
Density functional theory data (PBE) for Ac2PrSi2 after structural relaxation.

a = 6.955 Å, b = 6.955 Å, c = 11.473 Å
α = 115.62°, β = 115.62°, γ = 38.49°
Fractional coordinates of all 10 atoms:
Ac  0.015  0.015  0.190
Ac  0.179  0.179  0.589
Ac  0.821  0.821  0.411
Ac  0.985  0.985  0.810
Pr  0.273  0.273  0.131
Pr  0.727  0.727  0.869
Si  0.395  0.395  0.951
Si  0.496  0.496  0.604
Si  0.504  0.504  0.396
Si  0.605  0.605  0.049

Polymorph energy (0 for the lowest one)   0.0 kJ/mol of atoms
Density of states at the Fermi level   0.81 states/eV/atom
Space-group type   C2/m (12)


Record 4
Density functional theory data (PBE) for PmSmP2Rh5 after structural relaxation.

a = 4.047 Å, b = 4.047 Å, c = 10.894 Å
α = 90.00°, β = 90.00°, γ = 90.00°
Fractional coordinates of all 9 atoms:
Pm  0.000  0.000  0.000
Sm  0.000  0.000  0.500
P  0.500  0.500  0.208
P  0.500  0.500  0.792
Rh  0.000  0.500  0.300
Rh  0.000  0.500  0.700
Rh  0.500  0.000  0.300
Rh  0.500  0.000  0.700
Rh  0.500  0.500  0.000

Energy relative to the elements   -71.5 kJ/mol of atoms
Density of states at the Fermi level   0.57 states/eV/atom
Space-group type   P4/mmm (123)